[1]
First-principles (GGA-PBE) data for crystalline Nb3VBr at its relaxed geometry, as listed in the Alexandria database. Values from VASP.

Calculated values
* SG: No. 221
* E_form (uncorrected): 1275 meV/atom
* DOS(E_F): 6.532 states/eV/f.u.

```
&SYSTEM
  ibrav = 0, nat = 5, ntyp = 3
/
ATOMIC_SPECIES
Nb 92.91 Nb.upf
V 50.94 V.upf
Br 79.90 Br.upf
ATOMIC_POSITIONS crystal
Nb 0.0000 0.0000 0.5000
Nb 0.0000 0.5000 0.0000
Nb 0.5000 0.0000 0.0000
V 0.5000 0.5000 0.5000
Br 0.0000 0.0000 0.0000
CELL_PARAMETERS angstrom
4.7368 0.0000 0.0000
0.0000 4.7368 0.0000
0.0000 0.0000 4.7368
```


[2]
First-principles (GGA-PBE) data for crystalline Nb2VBr2 at its relaxed geometry, as listed in the Alexandria database. Values from VASP.

Calculated values
* SG: No. 139
* E_form (uncorrected): 712 meV/atom
* DOS(E_F): 5.446 states/eV/f.u.

```
&SYSTEM
  ibrav = 0, nat = 5, ntyp = 3
/
ATOMIC_SPECIES
Nb 92.91 Nb.upf
V 50.94 V.upf
Br 79.90 Br.upf
ATOMIC_POSITIONS crystal
Nb 0.1007 0.1007 0.0000
Nb 0.8993 0.8993 0.0000
V 0.5000 0.5000 0.0000
Br 0.2500 0.7500 0.5000
Br 0.7500 0.2500 0.5000
CELL_PARAMETERS angstrom
-2.2029 2.2029 5.8299
2.2029 -2.2029 5.8299
2.2029 2.2029 -5.8299
```


[3]
First-principles (GGA-PBE) data for crystalline Nb2VBr2 at its relaxed geometry, as listed in the Alexandria database. Values from VASP.

Calculated values
* SG: No. 127
* E_form (uncorrected): 824 meV/atom
* DOS(E_F): 4.744 states/eV/f.u.

```
&SYSTEM
  ibrav = 0, nat = 10, ntyp = 3
/
ATOMIC_SPECIES
Nb 92.91 Nb.upf
V 50.94 V.upf
Br 79.90 Br.upf
ATOMIC_POSITIONS crystal
Nb 0.1706 0.3294 0.0000
Nb 0.3294 0.8294 0.0000
Nb 0.6706 0.1706 0.0000
Nb 0.8294 0.6706 0.0000
V 0.0000 0.0000 0.0000
V 0.5000 0.5000 0.0000
Br 0.1330 0.6330 0.5000
Br 0.3670 0.1330 0.5000
Br 0.6330 0.8670 0.5000
Br 0.8670 0.3670 0.5000
CELL_PARAMETERS angstrom
7.9059 0.0000 0.0000
0.0000 7.9059 0.0000
0.0000 0.0000 3.0589
```


[4]
First-principles (GGA-PBE) data for crystalline Nb3VBr9 at its relaxed geometry, as listed in the Alexandria database. Values from VASP.

Calculated values
* SG: No. 9
* E_form (uncorrected): -452 meV/atom
* DOS(E_F): 2.602 states/eV/f.u.

```
&SYSTEM
  ibrav = 0, nat = 26, ntyp = 3
/
ATOMIC_SPECIES
Nb 92.91 Nb.upf
V 50.94 V.upf
Br 79.90 Br.upf
ATOMIC_POSITIONS crystal
Nb 0.0109 0.9891 0.5000
Nb 0.2141 0.5733 0.6302
Nb 0.5176 0.8076 0.3802
Nb 0.5733 0.2141 0.1302
Nb 0.8076 0.5176 0.8802
Nb 0.9891 0.0109 0.0000
V 0.5237 0.9715 0.2137
V 0.9715 0.5237 0.7137
Br 0.0046 0.2972 0.0311
Br 0.0120 0.4477 0.4544
Br 0.1074 0.8876 0.7522
Br 0.1576 0.6835 0.3950
Br 0.2689 0.3888 0.8000
Br 0.2972 0.0046 0.5311
Br 0.3057 0.8594 0.1276
Br 0.3888 0.2689 0.3000
Br 0.4477 0.0120 0.9544
Br 0.5084 0.5581 0.7631
Br 0.5581 0.5084 0.2631
Br 0.6835 0.1576 0.8950
Br 0.6944 0.7344 0.6456
Br 0.7031 0.9851 0.4724
Br 0.7344 0.6944 0.1456
Br 0.8594 0.3057 0.6276
Br 0.8876 0.1074 0.2522
Br 0.9851 0.7031 0.9724
CELL_PARAMETERS angstrom
8.3083 -5.0727 0.0000
8.3083 5.0727 0.0000
-4.1686 0.0000 9.0743
```


[5]
First-principles (GGA-PBE) data for crystalline NbVBr at its relaxed geometry, as listed in the Alexandria database. Values from VASP.

Calculated values
* SG: No. 12
* E_form (uncorrected): -39 meV/atom
* DOS(E_F): 2.108 states/eV/f.u.

```
&SYSTEM
  ibrav = 0, nat = 6, ntyp = 3
/
ATOMIC_SPECIES
Nb 92.91 Nb.upf
V 50.94 V.upf
Br 79.90 Br.upf
ATOMIC_POSITIONS crystal
Nb 0.1241 0.1241 0.3931
Nb 0.8759 0.8759 0.6069
V 0.3896 0.3896 0.4072
V 0.6104 0.6104 0.5928
Br 0.4428 0.4428 0.1773
Br 0.5572 0.5572 0.8227
CELL_PARAMETERS angstrom
4.8188 -1.6603 0.0000
4.8188 1.6603 0.0000
-4.1122 0.0000 9.4001
```


[6]
First-principles (GGA-PBE) data for crystalline NbVBr3 at its relaxed geometry, as listed in the Alexandria database. Values from VASP.

Calculated values
* SG: No. 221
* E_form (uncorrected): 385 meV/atom
* DOS(E_F): 13.670 states/eV/f.u.

```
&SYSTEM
  ibrav = 0, nat = 5, ntyp = 3
/
ATOMIC_SPECIES
Nb 92.91 Nb.upf
V 50.94 V.upf
Br 79.90 Br.upf
ATOMIC_POSITIONS crystal
Nb 0.0000 0.0000 0.0000
V 0.5000 0.5000 0.5000
Br 0.0000 0.0000 0.5000
Br 0.0000 0.5000 0.0000
Br 0.5000 0.0000 0.0000
CELL_PARAMETERS angstrom
5.3373 0.0000 0.0000
0.0000 5.3373 0.0000
0.0000 0.0000 5.3373
```


[7]
First-principles (GGA-PBE) data for crystalline Nb2VBr at its relaxed geometry, as listed in the Alexandria database. Values from VASP.

Calculated values
* SG: No. 122
* E_form (uncorrected): 762 meV/atom
* DOS(E_F): 4.622 states/eV/f.u.

```
&SYSTEM
  ibrav = 0, nat = 8, ntyp = 3
/
ATOMIC_SPECIES
Nb 92.91 Nb.upf
V 50.94 V.upf
Br 79.90 Br.upf
ATOMIC_POSITIONS crystal
Nb 0.1232 0.6250 0.9982
Nb 0.3750 0.3732 0.4982
Nb 0.6268 0.1250 0.0018
Nb 0.8750 0.8768 0.5018
V 0.0000 0.0000 0.0000
V 0.7500 0.2500 0.5000
Br 0.2500 0.7500 0.5000
Br 0.5000 0.5000 0.0000
CELL_PARAMETERS angstrom
-1.9489 1.9489 9.9669
1.9489 -1.9489 9.9669
1.9489 1.9489 -9.9669
```


[8]
First-principles (GGA-PBE) data for crystalline NbWBr2 at its relaxed geometry, as listed in the Alexandria database. Values from VASP.

Calculated values
* SG: No. 166
* E_form (uncorrected): 586 meV/atom
* DOS(E_F): 4.019 states/eV/f.u.

```
&SYSTEM
  ibrav = 0, nat = 4, ntyp = 3
/
ATOMIC_SPECIES
Nb 92.91 Nb.upf
W 183.84 W.upf
Br 79.90 Br.upf
ATOMIC_POSITIONS crystal
Nb 0.0000 0.0000 0.0000
W 0.5000 0.5000 0.5000
Br 0.4067 0.4067 0.4067
Br 0.5933 0.5933 0.5933
CELL_PARAMETERS angstrom
1.5649 0.9035 9.0620
-1.5649 0.9035 9.0620
0.0000 -1.8070 9.0620
```


| no. | raw total energy (eV/f.u.) |
| --- | --- |
| 1 | -34.63 |
| 2 | -29.05 |
| 3 | -28.48 |
| 4 | -60.26 |
| 5 | -20.98 |
| 6 | -22.28 |
| 7 | -27.88 |
| 8 | -24.02 |